A plane-wave DFT calculation with PBE was carried out for Ca2AgPt2 after structural relaxation.

Cell lengths 5.533, 5.533, 8.045 Å; angles 90.00, 90.00, 90.00 degrees
Space group I4/mmm (No. 139)
Inequivalent atoms, fractional coordinates:
Ca: 0.000 0.500 0.250 (multiplicity 4)
Ag: 0.000 0.000 0.000 (multiplicity 2)
Pt: 0.000 0.000 0.340 (multiplicity 4)

Calculated values
Calculated density ... 7.80 g/cm³
Raw total energy ... -4.3185 eV/atom
DOS(E_F) ... 1.6 states/eV/f.u.